# Ba2SmCoO5 GGA+U relaxed
data_Ba2SmCoO5
_symmetry_space_group_name_H-M 'C m c 21'
_symmetry_Int_Tables_number 36
_symmetry_space_group_name_Hall 'C 2c -2'
_cell_length_a 3.614
_cell_length_b 15.234
_cell_length_c 11.382
_cell_angle_alpha 90.00
_cell_angle_beta 90.00
_cell_angle_gamma 90.00
loop_
_atom_site_label
_atom_site_fract_x
_atom_site_fract_y
_atom_site_fract_z
Ba1 0.000 0.112 0.000
Ba2 0.000 0.138 0.656
Sm1 0.000 0.195 0.355
Co1 0.000 0.458 0.752
O1 0.000 0.034 0.324
O2 0.000 0.294 0.985
O3 0.000 0.331 0.717
O4 0.000 0.341 0.332
O5 0.000 0.495 0.110
# energy: -59.58 eV per formula unit
# spin magnetization: 16.20 μB/cell